First-principles (PBE-GGA) data for a relaxed structure of CaLaCdIn, as listed in the Alexandria database.

Summary:
Total energy (eV per atom): -3.110
Energy of formation (eV per atom): -0.464
ρ (g cm⁻³): 5.671

Unit cell a=5.520 b=5.520 c=5.520 alpha=60.00 beta=60.00 gamma=60.00
Element x y z (fractional)
Ca 0.000 0.000 0.000
La 0.500 0.500 0.500
Cd 0.750 0.750 0.750
In 0.250 0.250 0.250